{"formula": "Y2MgMnZn", "functional": "PBE-GGA", "state": "relaxed", "lattice": [[-0.496, -3.088, -4.588], [0.718, -3.832, 2.502], [-5.463, -0.443, 0.889]], "species": ["Y", "Y", "Zn", "Mn", "Mg"], "frac_coords": [[0.000, 0.000, 0.500], [0.500, 0.000, 0.000], [0.500, 0.500, 0.500], [0.000, 0.500, 0.000], [0.000, 0.000, 0.000]], "crystal_system": "tetragonal", "delta_e_f_kj_per_mol_atoms": 79, "final_energy_ev_per_atom": -4.175, "spacegroup": "P4/mmm (123)"}